(w)
First-principles (PBE-GGA) data for a geometry-optimized TbZrAu structure, as listed in Alexandria via LeMat-Bulk.

a = 6.5083 Å, b = 6.5083 Å, c = 6.5083 Å
α = 149.42°, β = 149.42°, γ = 43.79°
With the nearest neighbours (Å) after each atom.
Positions (direct):
Tb 0.0000 0.0000 0.0000  4 Au 3.21, 4 Zr 3.33, 4 Tb 3.43
Zr 0.3116 0.3116 0.0000  4 Au 2.94
Au 0.6737 0.6737 0.0000  4 Zr 2.94, 4 Tb 3.21

Values from the calculation:
- Total magnetic moment: 0.000 μB/atom
- Theoretical density: 10.436 g/cm³

(x)
First-principles (PBE-GGA) data for a geometry-optimized TbZrAu structure, as listed in Alexandria via LeMat-Bulk.

a = 4.6776 Å, b = 4.6776 Å, c = 4.0195 Å
α = 90.00°, β = 90.00°, γ = 120.00°
With the nearest neighbours (Å) after each atom.
Positions (direct):
Tb 0.0000 0.0000 0.0000  6 Zr 3.37, 6 Au 3.37
Zr 0.3333 0.6667 0.5000  3 Au 2.70
Au 0.6667 0.3333 0.5000  3 Zr 2.70

Values from the calculation:
- Total magnetic moment: 0.000 μB/atom
- Theoretical density: 9.748 g/cm³

(y)
First-principles (PBE-GGA) data for a geometry-optimized TbZrAu structure, as listed in Alexandria via LeMat-Bulk.

a = 4.4342 Å, b = 4.4342 Å, c = 7.4495 Å
α = 90.00°, β = 90.00°, γ = 90.00°
With the nearest neighbours (Å) after each atom.
Positions (direct):
Tb 0.2500 0.2500 0.1428  1 Au 2.85
Tb 0.7500 0.7500 0.8572  1 Au 2.85
Zr 0.2500 0.7500 0.5000  4 Au 2.94, 4 Zr 3.14
Zr 0.7500 0.2500 0.5000  4 Au 2.94, 4 Zr 3.14
Au 0.2500 0.2500 0.7598  1 Tb 2.85, 4 Zr 2.94
Au 0.7500 0.7500 0.2402  1 Tb 2.85, 4 Zr 2.94

Values from the calculation:
- Total magnetic moment: 0.000 μB/atom
- Theoretical density: 10.138 g/cm³

We find (y) to be the most stable, with the next structure 63 meV/atom higher.

(w)
First-principles (PBE-GGA) data for a geometry-optimized Tc3Au5 structure, as listed in Alexandria via LeMat-Bulk.

a = 7.9564 Å, b = 7.9564 Å, c = 5.0835 Å
α = 90.00°, β = 90.00°, γ = 61.01°
With the nearest neighbours (Å) after each atom.
Positions (direct):
Tc 0.0775 0.5025 0.2500  9 Au 2.71-3.01, 2 Tc 2.83
Tc 0.0780 0.9220 0.7500  9 Au 2.71-3.02, 2 Tc 2.84
Tc 0.4975 0.9225 0.2500  9 Au 2.71-3.01, 2 Tc 2.83
Tc 0.5025 0.0775 0.7500  9 Au 2.71-3.01, 2 Tc 2.83
Tc 0.9220 0.0780 0.2500  9 Au 2.71-3.02, 2 Tc 2.84
Tc 0.9225 0.4975 0.7500  9 Au 2.71-3.01, 2 Tc 2.83
Au 0.1688 0.1688 0.0000  2 Au 2.54, 6 Tc 2.71
Au 0.1688 0.1688 0.5000  2 Au 2.54, 6 Tc 2.71
Au 0.2800 0.7200 0.2500  5 Tc 2.88-3.02, 6 Au 3.05-3.08
Au 0.2823 0.4996 0.7500  5 Tc 2.87-3.01, 6 Au 2.99-3.09
Au 0.4996 0.2823 0.2500  5 Tc 2.87-3.01, 6 Au 2.99-3.09
Au 0.5004 0.7177 0.7500  5 Tc 2.87-3.01, 6 Au 2.99-3.09
Au 0.7177 0.5004 0.2500  5 Tc 2.87-3.01, 6 Au 2.99-3.09
Au 0.7200 0.2800 0.7500  5 Tc 2.88-3.02, 6 Au 3.05-3.08
Au 0.8312 0.8312 0.0000  2 Au 2.54, 6 Tc 2.71
Au 0.8312 0.8312 0.5000  2 Au 2.54, 6 Tc 2.71

Values from the calculation:
- Total magnetic moment: 0.000 μB/atom
- Theoretical density: 15.088 g/cm³

(x)
First-principles (PBE-GGA) data for a geometry-optimized Tc3Au5 structure, as listed in Alexandria via LeMat-Bulk.

a = 4.9787 Å, b = 7.0243 Å, c = 8.3440 Å
α = 88.30°, β = 81.90°, γ = 75.97°
With the nearest neighbours (Å) after each atom.
Positions (direct):
Tc 0.0742 0.1396 0.4979  1 Tc 2.25
Tc 0.2562 0.9266 0.9631  2 Tc 2.50-2.75, 2 Au 2.72
Tc 0.3901 0.5323 0.8937  1 Tc 2.19
Tc 0.6099 0.4677 0.1063  1 Tc 2.19
Tc 0.7438 0.0734 0.0369  2 Tc 2.50-2.75, 2 Au 2.72
Tc 0.9258 0.8604 0.5021  1 Tc 2.25
Au 0.0120 0.6926 0.1704  6 Tc 2.72-2.99, 5 Au 2.78-3.00
Au 0.1514 0.2640 0.1636  6 Tc 2.83-3.01, 5 Au 2.84-3.10
Au 0.2386 0.4880 0.5699  7 Au 2.74-3.02, 3 Tc 2.79-2.95
Au 0.4036 0.8217 0.6458  5 Tc 2.72-2.86, 4 Au 2.78-2.93
Au 0.4328 0.8457 0.2703  6 Au 2.79-3.12, 5 Tc 2.82-2.99
Au 0.5672 0.1543 0.7297  6 Au 2.79-3.12, 5 Tc 2.82-2.99
Au 0.5964 0.1783 0.3542  5 Tc 2.72-2.86, 4 Au 2.78-2.93
Au 0.7614 0.5120 0.4301  7 Au 2.74-3.02, 3 Tc 2.79-2.95
Au 0.8486 0.7360 0.8364  6 Tc 2.83-3.01, 5 Au 2.84-3.10
Au 0.9880 0.3074 0.8296  6 Tc 2.72-2.99, 5 Au 2.78-3.00

Values from the calculation:
- Total magnetic moment: 0.000 μB/atom
- Theoretical density: 15.154 g/cm³

We find (x) to be the most stable, with the next structure 196 meV/atom higher.

(w)
First-principles (PBE-GGA) data for a geometry-optimized Tc5Au3 structure, as listed in Alexandria via LeMat-Bulk.

a = 7.6495 Å, b = 7.6495 Å, c = 7.9286 Å
α = 95.05°, β = 95.05°, γ = 142.71°
With the nearest neighbours (Å) after each atom.
Positions (direct):
Tc 0.0697 0.7815 0.8287  3 Tc 2.48-2.61, 2 Au 2.70-2.72
Tc 0.2185 0.9303 0.1713  3 Tc 2.48-2.61, 2 Au 2.70-2.72
Tc 0.2308 0.4042 0.7146  3 Tc 2.48-2.65, 2 Au 2.68-2.73
Tc 0.2719 0.2719 0.0512  6 Tc 2.56-2.65, 1 Au 2.84
Tc 0.4042 0.2308 0.7146  3 Tc 2.48-2.65, 2 Au 2.68-2.73
Tc 0.5958 0.7692 0.2854  3 Tc 2.48-2.65, 2 Au 2.68-2.73
Tc 0.7281 0.7281 0.9488  6 Tc 2.56-2.65, 1 Au 2.84
Tc 0.7692 0.5958 0.2854  3 Tc 2.48-2.65, 2 Au 2.68-2.73
Tc 0.7815 0.0697 0.8287  3 Tc 2.48-2.61, 2 Au 2.70-2.72
Tc 0.9303 0.2185 0.1713  3 Tc 2.48-2.61, 2 Au 2.70-2.72
Au 0.2146 0.2146 0.3978  9 Tc 2.72-2.96, 2 Au 2.82-2.99
Au 0.2904 0.7096 0.5000  2 Au 2.71, 4 Tc 2.78-3.01
Au 0.3071 0.6929 0.0000  8 Tc 2.68-2.87, 2 Au 2.95
Au 0.6929 0.3071 0.0000  8 Tc 2.68-2.87, 2 Au 2.95
Au 0.7096 0.2904 0.5000  2 Au 2.71, 4 Tc 2.78-3.01
Au 0.7854 0.7854 0.6022  9 Tc 2.72-2.96, 2 Au 2.82-2.99

Values from the calculation:
- Total magnetic moment: 0.000 μB/atom
- Theoretical density: 13.285 g/cm³

(x)
First-principles (PBE-GGA) data for a geometry-optimized Tc5Au3 structure, as listed in Alexandria via LeMat-Bulk.

a = 8.1443 Å, b = 8.1443 Å, c = 4.6435 Å
α = 90.00°, β = 90.00°, γ = 120.00°
With the nearest neighbours (Å) after each atom.
Positions (direct):
Tc 0.0000 0.1841 0.2500  6 Tc 2.60-2.76, 4 Au 2.75-2.86
Tc 0.0000 0.8159 0.7500  6 Tc 2.60-2.76, 4 Au 2.75-2.86
Tc 0.1841 0.0000 0.2500  6 Tc 2.60-2.76, 4 Au 2.75-2.86
Tc 0.1841 0.1841 0.7500  6 Tc 2.60-2.76, 4 Au 2.75-2.86
Tc 0.3333 0.6667 0.0000  2 Tc 2.32
Tc 0.3333 0.6667 0.5000  2 Tc 2.32
Tc 0.6667 0.3333 0.0000  2 Tc 2.32
Tc 0.6667 0.3333 0.5000  2 Tc 2.32
Tc 0.8159 0.0000 0.7500  6 Tc 2.60-2.76, 4 Au 2.75-2.86
Tc 0.8159 0.8159 0.2500  6 Tc 2.60-2.76, 4 Au 2.75-2.86
Au 0.0000 0.3896 0.7500  8 Tc 2.75-2.86, 2 Au 2.94
Au 0.0000 0.6104 0.2500  8 Tc 2.75-2.86, 2 Au 2.94
Au 0.3896 0.0000 0.7500  8 Tc 2.75-2.86, 2 Au 2.94
Au 0.3896 0.3896 0.2500  8 Tc 2.75-2.86, 2 Au 2.94
Au 0.6104 0.0000 0.2500  8 Tc 2.75-2.86, 2 Au 2.94
Au 0.6104 0.6104 0.7500  8 Tc 2.75-2.86, 2 Au 2.94

Values from the calculation:
- Total magnetic moment: 0.000 μB/atom
- Theoretical density: 13.459 g/cm³

We find (w) to be the most stable, with the next structure 151 meV/atom higher.

(w)
First-principles (PBE-GGA) data for a geometry-optimized TcTeAu structure, as listed in Alexandria via LeMat-Bulk.

a = 5.8543 Å, b = 5.8543 Å, c = 5.8543 Å
α = 147.37°, β = 147.37°, γ = 46.82°
With the nearest neighbours (Å) after each atom.
Positions (direct):
Tc 0.0000 0.0000 0.0000  4 Te 2.70, 4 Au 2.95
Te 0.6279 0.6279 0.0000  4 Tc 2.70
Au 0.3317 0.3317 0.0000  4 Tc 2.95, 5 Te 3.18-3.19, 4 Au 3.29

Values from the calculation:
- Total magnetic moment: 0.000 μB/atom
- Theoretical density: 12.073 g/cm³

(x)
First-principles (PBE-GGA) data for a geometry-optimized TcTeAu structure, as listed in Alexandria via LeMat-Bulk.

a = 7.9500 Å, b = 7.7065 Å, c = 3.0354 Å
α = 83.37°, β = 74.34°, γ = 22.29°
With the nearest neighbours (Å) after each atom.
Positions (direct):
Tc 0.0000 0.0000 0.0000  2 Te 2.63, 2 Au 2.79
Te 0.3636 0.3636 0.6364  2 Tc 2.63
Au 0.6495 0.6495 0.3505  2 Tc 2.79, 4 Au 3.04

Values from the calculation:
- Total magnetic moment: 0.218 μB/atom
- Theoretical density: 11.110 g/cm³

(y)
First-principles (PBE-GGA) data for a geometry-optimized TcTeAu structure, as listed in Alexandria via LeMat-Bulk.

a = 5.7785 Å, b = 5.7785 Å, c = 8.5617 Å
α = 123.75°, β = 123.75°, γ = 31.46°
With the nearest neighbours (Å) after each atom.
Positions (direct):
Tc 0.0000 0.0000 0.0000  2 Tc 2.74, 2 Te 2.74, 4 Au 2.79-2.94
Tc 0.6834 0.6834 0.9618  4 Te 2.64-2.70, 2 Tc 2.74, 2 Au 2.84-2.89
Te 0.1213 0.1213 0.6756  2 Tc 2.64, 1 Au 2.79
Te 0.4213 0.4213 0.1897  4 Tc 2.70-2.74, 1 Au 2.96
Au 0.3692 0.3692 0.6700  1 Te 2.79, 3 Tc 2.79-2.89, 2 Au 2.87
Au 0.7336 0.7336 0.3273  3 Tc 2.84-2.94, 4 Au 2.87-3.13, 1 Te 2.96

Values from the calculation:
- Total magnetic moment: 0.000 μB/atom
- Theoretical density: 11.518 g/cm³

(z)
First-principles (PBE-GGA) data for a geometry-optimized TcTeAu structure, as listed in Alexandria via LeMat-Bulk.

a = 3.6177 Å, b = 5.3279 Å, c = 6.8839 Å
α = 78.26°, β = 86.33°, γ = 78.68°
With the nearest neighbours (Å) after each atom.
Positions (direct):
Tc 0.2474 0.1698 0.0214  1 Tc 2.36
Tc 0.7526 0.8302 0.9786  1 Tc 2.36
Te 0.2986 0.5579 0.2348  3 Tc 2.72-2.81, 2 Au 3.00
Te 0.7014 0.4421 0.7652  3 Tc 2.72-2.81, 2 Au 3.00
Au 0.2285 0.9777 0.6578  2 Au 2.76-2.84, 3 Tc 2.79-2.90, 2 Te 3.00
Au 0.7715 0.0223 0.3422  2 Au 2.76-2.84, 3 Tc 2.79-2.90, 2 Te 3.00

Values from the calculation:
- Total magnetic moment: 0.000 μB/atom
- Theoretical density: 11.021 g/cm³

We find (z) to be the most stable, with the next structure 45 meV/atom higher.